Density functional theory data (PBE) for an optimized crystal structure of HfTh2Ga4Pd3.

Lattice parameters (Å, degrees): 4.2212 4.2212 11.3133 90.00 90.00 90.00
Fractional coordinates of all 10 atoms:
1 Hf 0.0000 0.0000 0.0000
2 Th 0.0000 0.5000 0.7389
3 Th 0.5000 0.0000 0.2611
4 Ga 0.0000 0.0000 0.5000
5 Ga 0.0000 0.5000 0.1519
6 Ga 0.5000 0.0000 0.8481
7 Ga 0.5000 0.5000 0.5000
8 Pd 0.0000 0.5000 0.3712
9 Pd 0.5000 0.0000 0.6288
10 Pd 0.5000 0.5000 0.0000

Results
* crystal system: tetragonal
* symmetry: P-4m2


Density functional theory data (PBE) for an optimized crystal structure of HfZnGaPd.

Lattice parameters (Å, degrees): 4.5456 4.5456 4.5456 60.00 60.00 60.00
Fractional coordinates of all 4 atoms:
1 Hf 0.0000 0.0000 0.0000
2 Zn 0.5000 0.5000 0.5000
3 Ga 0.7500 0.7500 0.7500
4 Pd 0.2500 0.2500 0.2500

Results
* crystal system: cubic
* symmetry: F-43m
* excess energy over the best structure of this formula in the dataset: 0.000 eV per atom


Density functional theory data (PBE) for an optimized crystal structure of HfZnGaPd.

Lattice parameters (Å, degrees): 4.3176 4.3176 4.8277 117.01 117.01 60.58
Fractional coordinates of all 4 atoms:
1 Hf 0.0000 0.0000 0.0000
2 Zn 0.7655 0.7655 0.2970
3 Ga 0.2343 0.2343 0.7038
4 Pd 0.5134 0.5134 0.5407

Results
* crystal system: monoclinic
* symmetry: Cm
* excess energy over the best structure of this formula in the dataset: 0.055 eV per atom


Density functional theory data (PBE) for an optimized crystal structure of Hf2Zr2Ga4Pd.

Lattice parameters (Å, degrees): 6.3587 6.3587 6.3587 122.24 122.24 86.15
Fractional coordinates of all 9 atoms:
1 Hf 0.2277 0.2277 0.0000
2 Hf 0.7723 0.7723 0.0000
3 Zr 0.2500 0.7500 0.5000
4 Zr 0.7500 0.2500 0.5000
5 Ga 0.2178 0.2178 0.4356
6 Ga 0.2178 0.7822 0.0000
7 Ga 0.7822 0.2178 0.0000
8 Ga 0.7822 0.7822 0.5644
9 Pd 0.5000 0.5000 0.0000

Results
* crystal system: tetragonal
* symmetry: I4/mmm


The calculation returns the following ΔE_f values, one per record and in order: -687, -438, -383, -249 meV/atom.